(1)
This record from the Alexandria database describes crystalline Bi8Ir2Au at its relaxed geometry. The functional is PBE.

Electronic total energy (eV per atom): -4.553
V (Å³/cell): 660.12

Cell lengths 14.567, 8.502, 5.330 Å; angles 90.00, 90.14, 90.00 degrees
Space group C2/m (No. 12)
Symmetry-distinct sites (fractional):
Bi: 0.090 0.219 0.261 [8 per cell]
Bi: 0.136 0.000 0.767 [4 per cell]
Bi: 0.206 0.500 0.733 [4 per cell]
Ir: 0.174 0.500 0.235 [4 per cell]
Au: 0.000 0.500 0.000 [2 per cell]


(2)
This record from the Alexandria database describes crystalline Bi2Ir2Au at its relaxed geometry. The functional is PBE.

Electronic total energy (eV per atom): -5.455
V (Å³/cell): 207.99

Cell lengths 7.362, 7.362, 3.838 Å; angles 90.00, 90.00, 90.00 degrees
Space group P4/mbm (No. 127)
Symmetry-distinct sites (fractional):
Bi: 0.163 0.337 0.000 [4 per cell]
Ir: 0.138 0.638 0.500 [4 per cell]
Au: 0.000 0.000 0.500 [2 per cell]


(3)
This record from the Alexandria database describes crystalline BiIr3Au at its relaxed geometry. The functional is PBE.

Electronic total energy (eV per atom): -4.568
V (Å³/cell): 122.39

Cell lengths 4.965, 4.965, 4.965 Å; angles 90.00, 90.00, 90.00 degrees
Space group Pm-3m (No. 221)
Symmetry-distinct sites (fractional):
Bi: 0.000 0.000 0.000 [1 per cell]
Ir: 0.000 0.000 0.500 [3 per cell]
Au: 0.500 0.500 0.500 [1 per cell]